{
  "formula": "Er3GaBi",
  "functional": "GGA-PBE",
  "state": "optimized geometry",
  "n_ef_per_ev_cell": 15.4,
  "dft_energy_ev_per_atom": -4.57,
  "lattice_angstrom": [[-6.141, -2.588, 1.153], [4.060, -3.239, 7.619], [-1.519, 8.282, 3.759]],
  "species": ["Er", "Er", "Er", "Er", "Er", "Er", "Er", "Er", "Er", "Er", "Er", "Er", "Ga", "Ga", "Ga", "Ga", "Bi", "Bi", "Bi", "Bi"],
  "frac_coords": [[0.596, 0.246, 0.097], [0.904, 0.903, 0.754], [0.404, 0.754, 0.903], [0.096, 0.097, 0.246], [0.863, 0.675, 0.060], [0.637, 0.940, 0.325], [0.137, 0.325, 0.940], [0.363, 0.060, 0.675], [0.447, 0.560, 0.254], [0.053, 0.746, 0.440], [0.553, 0.440, 0.746], [0.947, 0.254, 0.560], [0.250, 0.022, 0.978], [0.750, 0.978, 0.022], [0.250, 0.821, 0.179], [0.750, 0.179, 0.821], [0.987, 0.430, 0.264], [0.513, 0.736, 0.570], [0.013, 0.570, 0.736], [0.487, 0.264, 0.430]]
}


{
  "formula": "Y2InBr2",
  "functional": "GGA-PBE",
  "state": "optimized geometry",
  "e_form_raw_ev_per_atom": -0.685,
  "n_ef_per_ev_cell": 3.5,
  "dft_energy_ev_per_atom": -4.49,
  "lattice_angstrom": [[-2.646, 2.646, 5.208], [2.646, -2.646, 5.208], [2.646, 2.646, -5.208]],
  "species": ["Y", "Y", "In", "Br", "Br"],
  "frac_coords": [[0.250, 0.750, 0.500], [0.750, 0.250, 0.500], [0.000, 0.000, 0.000], [0.651, 0.651, 0.000], [0.349, 0.349, 0.000]]
}


{
  "formula": "LiPaSe4",
  "functional": "GGA-PBE",
  "state": "optimized geometry",
  "e_form_raw_ev_per_atom": -1.046,
  "dft_energy_ev_per_atom": -5.27,
  "polymorph_energy_ev_per_atom": 0.0000,
  "lattice_angstrom": [[-6.910, 0.285, 1.295], [-0.918, -2.469, -6.652], [4.090, -5.273, 5.017]],
  "species": ["Li", "Li", "Pa", "Pa", "Se", "Se", "Se", "Se", "Se", "Se", "Se", "Se"],
  "frac_coords": [[0.302, 0.552, 0.605], [0.698, 0.448, 0.395], [0.340, 0.090, 0.680], [0.660, 0.910, 0.320], [0.317, 0.900, 0.916], [0.599, 0.515, 0.916], [0.003, 0.725, 0.407], [0.997, 0.275, 0.593], [0.596, 0.818, 0.593], [0.401, 0.485, 0.084], [0.404, 0.182, 0.407], [0.683, 0.100, 0.084]]
}


{
  "formula": "LiPt2W",
  "functional": "GGA-PBE",
  "state": "optimized geometry",
  "n_ef_per_ev_cell": 2.9,
  "dft_energy_ev_per_atom": -7.09,
  "lattice_angstrom": [[4.845, -0.003, -0.004], [4.068, 2.631, -0.004], [0.579, 0.171, 4.722]],
  "species": ["W", "Pt", "Pt", "Li"],
  "frac_coords": [[0.489, 0.489, 0.538], [0.007, 0.007, 0.047], [0.746, 0.746, 0.711], [0.258, 0.258, 0.205]]
}